(1)
# RbHf2Ge

An optimized crystal structure of RbHf2Ge (PBE, the Alexandria database).

Computed properties:
symmetry = No. 122
M_tot = 0.00 μB per cell
uncorrected energy = -5.46 eV per atom

Lattice parameters (Å, degrees): 5.499 5.499 10.325 74.56 74.56 90.00
Sites, in units of the cell vectors:
Rb 0.750 0.250 0.500
Rb 0.000 0.000 0.000
Hf 0.361 0.625 0.250
Ge 0.500 0.500 0.000
Hf 0.375 0.611 0.750
Hf 0.875 0.639 0.750
Hf 0.389 0.125 0.250
Ge 0.250 0.750 0.500


(2)
# Ni2AsAu

An optimized crystal structure of Ni2AsAu (PBE, the Alexandria database).

Computed properties:
symmetry = No. 71
M_tot = 0.00 μB per cell
uncorrected energy = -4.84 eV per atom

Lattice parameters (Å, degrees): 4.412 4.412 4.412 127.95 118.52 84.70
Sites, in units of the cell vectors:
Ni 0.531 0.531 0.000
As 0.750 0.250 0.500
Au 0.250 0.750 0.500
Ni 0.969 0.969 0.000


(3)
# TbHo12Sc7

An optimized crystal structure of TbHo12Sc7 (PBE, the Alexandria database).

Computed properties:
symmetry = No. 148
M_tot = 4.60 μB per cell
uncorrected energy = -5.02 eV per atom

Lattice parameters (Å, degrees): 9.011 9.011 9.011 108.34 108.34 108.34
Sites, in units of the cell vectors:
Ho 0.407 0.067 0.297
Sc 0.500 0.500 0.500
Sc 0.895 0.315 0.995
Ho 0.297 0.407 0.067
Sc 0.315 0.995 0.895
Ho 0.703 0.593 0.933
Sc 0.005 0.105 0.685
Ho 0.326 0.618 0.801
Ho 0.933 0.703 0.593
Ho 0.067 0.297 0.407
Ho 0.618 0.801 0.326
Ho 0.674 0.382 0.199
Sc 0.995 0.895 0.315
Ho 0.382 0.199 0.674
Tb 0.000 0.000 0.000
Ho 0.199 0.674 0.382
Sc 0.105 0.685 0.005
Sc 0.685 0.005 0.105
Ho 0.801 0.326 0.618
Ho 0.593 0.933 0.703


(4)
# La2TaBr

An optimized crystal structure of La2TaBr (PBE, the Alexandria database).

Computed properties:
formation energy (no corrections) = -111 meV per atom
symmetry = No. 12
M_tot = 0.00 μB per cell

Lattice parameters (Å, degrees): 8.668 5.718 3.335 88.88 68.96 130.79
Sites, in units of the cell vectors:
La 0.500 0.000 0.500
Ta 0.000 0.500 0.500
La 0.000 0.000 0.000
Br 0.500 0.500 0.000


(5)
# BaTlP3

An optimized crystal structure of BaTlP3 (PBE, the Alexandria database).

Computed properties:
symmetry = No. 221
M_tot = 0.00 μB per cell
uncorrected energy = -3.69 eV per atom

Lattice parameters (Å, degrees): 5.225 5.225 5.225 90.00 90.00 90.00
Sites, in units of the cell vectors:
Tl 0.000 0.000 0.000
P 0.000 0.000 0.500
P 0.000 0.500 0.000
P 0.500 0.000 0.000
Ba 0.500 0.500 0.500


(6)
# La2Si4Ir3Rh

An optimized crystal structure of La2Si4Ir3Rh (PBE, the Alexandria database).

Computed properties:
formation energy (no corrections) = -1047 meV per atom
symmetry = No. 115
M_tot = 0.00 μB per cell

Lattice parameters (Å, degrees): 4.231 4.231 9.957 90.00 90.00 90.00
Sites, in units of the cell vectors:
La 0.500 0.000 0.244
Si 0.500 0.500 0.000
Si 0.500 0.000 0.628
Ir 0.000 0.000 0.500
Ir 0.000 0.500 0.126
Rh 0.500 0.500 0.500
Ir 0.500 0.000 0.874
Si 0.000 0.500 0.372
Si 0.000 0.000 0.000
La 0.000 0.500 0.756